{"formula": "BaLi2BiF8", "functional": "GGA-PBE", "state": "optimized geometry", "lattice": [[4.9178, -0.4310, 0.0083], [1.8861, 4.5621, 0.0083], [0.3471, 0.2107, 8.4355]], "species": ["Li", "F", "Bi", "Li", "F", "F", "F", "F", "Ba", "F", "F", "F"], "fractional_positions": [[0.6174, 0.6174, 0.2331], [0.2252, 0.7652, 0.2047], [0.0000, 0.0000, 0.0000], [0.3826, 0.3826, 0.7669], [0.7652, 0.2252, 0.2047], [0.7297, 0.7297, 0.0236], [0.2348, 0.7748, 0.7953], [0.6870, 0.6870, 0.4332], [0.0000, 0.0000, 0.5000], [0.7748, 0.2348, 0.7953], [0.2703, 0.2703, 0.9764], [0.3130, 0.3130, 0.5668]], "total_energy_ev_per_atom": -4.8138, "crystal_system": "monoclinic", "spacegroup": "C2/m"}

=====

{"formula": "SiBiMo2", "functional": "GGA-PBE", "state": "optimized geometry", "lattice": [[4.2070, 0.0000, 0.0000], [0.0000, 4.2070, 0.0000], [2.1035, 2.1035, 9.2020]], "species": ["Mo", "Mo", "Mo", "Bi", "Si", "Si", "Mo", "Bi"], "fractional_positions": [[0.2107, 0.6250, 0.2500], [0.5393, 0.1250, 0.2500], [0.8750, 0.7893, 0.7500], [0.7500, 0.2500, 0.5000], [0.2500, 0.7500, 0.5000], [0.5000, 0.5000, 0.0000], [0.3750, 0.4607, 0.7500], [0.0000, 0.0000, 0.0000]], "crystal_system": "tetragonal", "spacegroup": "I-42d", "polymorph_energy_ev_per_atom": 0.163}